# TbTl2AgF6, optimized geometry, DFT GGA-PBE
# Uncorrected formation energy in eV/atom: -2.5495
# Crystal system: monoclinic
# Density of states at the Fermi level in states/eV per atom: 0.000
data_TbTl2AgF6
_chemical_formula_sum 'Tb2 Tl4 Ag2 F12'
_symmetry_space_group_name_H-M 'P 1 21/c 1'
_symmetry_Int_Tables_number 14
_cell_length_a 6.395
_cell_length_b 6.507
_cell_length_c 11.222
_cell_angle_alpha 90.00
_cell_angle_beta 123.75
_cell_angle_gamma 90.00
loop_
_symmetry_equiv_pos_as_xyz
'x,y,z'
'-x,-y,-z'
'-x,y+1/2,-z+1/2'
'x,-y+1/2,z+1/2'
loop_
_atom_site_label
_atom_site_fract_x
_atom_site_fract_y
_atom_site_fract_z
Tb1 0.000 0.000 0.000
Tl1 0.263 0.039 0.752
Ag1 0.500 0.000 0.500
F1 0.141 0.030 0.229
F2 0.234 0.724 0.047
F3 0.316 0.192 0.038

***

# Mn4Cu2Mo, optimized geometry, DFT GGA-PBE
# Crystal system: tetragonal
# Energy relative to the elements in kJ per mole of atoms: 108
# Density of states at the Fermi level in states/eV per atom: 1.276
data_Mn4Cu2Mo
_chemical_formula_sum 'Mn8 Cu4 Mo2'
_symmetry_space_group_name_H-M 'I 4/m m m'
_symmetry_Int_Tables_number 139
_symmetry_space_group_name_Hall '-I 4 2'
_cell_length_a 4.504
_cell_length_b 4.504
_cell_length_c 12.545
_cell_angle_alpha 90.00
_cell_angle_beta 90.00
_cell_angle_gamma 90.00
loop_
_atom_site_label
_atom_site_fract_x
_atom_site_fract_y
_atom_site_fract_z
Mn1 0.000 0.000 0.201
Mn2 0.000 0.500 0.000
Cu1 0.000 0.000 0.399
Mo1 0.000 0.000 0.000

***

# TlV2FeW, optimized geometry, DFT GGA-PBE
# Crystal system: tetragonal
# Energy relative to the elements in kJ per mole of atoms: 250
# Density of states at the Fermi level in states/eV per atom: 1.387
data_TlV2FeW
_chemical_formula_sum 'Tl1 V2 Fe1 W1'
_symmetry_space_group_name_H-M 'P 4/m m m'
_symmetry_Int_Tables_number 123
_symmetry_space_group_name_Hall '-P 4 2'
_cell_length_a 4.973
_cell_length_b 4.973
_cell_length_c 5.126
_cell_angle_alpha 90.00
_cell_angle_beta 90.00
_cell_angle_gamma 90.00
loop_
_atom_site_label
_atom_site_fract_x
_atom_site_fract_y
_atom_site_fract_z
Tl1 0.000 0.000 0.000
V1 0.000 0.500 0.000
Fe1 0.500 0.500 0.500
W1 0.000 0.000 0.500

***

# AlTcAu2, optimized geometry, DFT GGA-PBE
# Crystal system: orthorhombic
# Energy relative to the elements in kJ per mole of atoms: 5
# Density of states at the Fermi level in states/eV per atom: 0.622
data_AlTcAu2
_chemical_formula_sum 'Al2 Tc2 Au4'
_symmetry_space_group_name_H-M 'C m m m'
_symmetry_Int_Tables_number 65
_symmetry_space_group_name_Hall '-C 2 2'
_cell_length_a 5.541
_cell_length_b 8.365
_cell_length_c 2.810
_cell_angle_alpha 90.00
_cell_angle_beta 90.00
_cell_angle_gamma 90.00
loop_
_atom_site_label
_atom_site_fract_x
_atom_site_fract_y
_atom_site_fract_z
Al1 0.000 0.000 0.000
Tc1 0.000 0.500 0.000
Au1 0.250 0.250 0.500

***

# Fe2HgRu, optimized geometry, DFT GGA-PBE
# Crystal system: trigonal
# Energy relative to the elements in kJ per mole of atoms: 42
# Density of states at the Fermi level in states/eV per atom: 1.263
data_Fe2HgRu
_chemical_formula_sum 'Fe6 Hg3 Ru3'
_symmetry_space_group_name_H-M 'R -3 m'
_symmetry_Int_Tables_number 166
_symmetry_space_group_name_Hall '-R 3 2"'
_cell_length_a 2.7923
_cell_length_b 2.7923
_cell_length_c 26.7311
_cell_angle_alpha 90.00
_cell_angle_beta 90.00
_cell_angle_gamma 120.00
loop_
_atom_site_label
_atom_site_fract_x
_atom_site_fract_y
_atom_site_fract_z
Fe1 0.0000 0.0000 0.2433
Hg1 0.0000 0.0000 0.0000
Ru1 0.0000 0.0000 0.5000

***

# LiFeTe4, optimized geometry, DFT GGA-PBE
# Uncorrected formation energy in eV/atom: 0.6322
# Crystal system: cubic
# Density of states at the Fermi level in states/eV per atom: 1.571
data_LiFeTe4
_chemical_formula_sum 'Li4 Fe4 Te16'
_symmetry_space_group_name_H-M 'F -4 3 m'
_symmetry_Int_Tables_number 216
_symmetry_space_group_name_Hall 'F -4 2 3'
_cell_length_a 9.010
_cell_length_b 9.010
_cell_length_c 9.010
_cell_angle_alpha 90.00
_cell_angle_beta 90.00
_cell_angle_gamma 90.00
loop_
_atom_site_label
_atom_site_fract_x
_atom_site_fract_y
_atom_site_fract_z
Li1 0.000 0.000 0.000
Fe1 0.250 0.250 0.250
Te1 0.124 0.124 0.624

***

# Hf4TaAl3, optimized geometry, DFT GGA-PBE
# Crystal system: orthorhombic
# Energy relative to the elements in kJ per mole of atoms: -24
# Density of states at the Fermi level in states/eV per atom: 0.685
data_Hf4TaAl3
_chemical_formula_sum 'Hf8 Ta2 Al6'
_symmetry_space_group_name_H-M 'P m m a'
_symmetry_Int_Tables_number 51
_cell_length_a 9.777
_cell_length_b 6.249
_cell_length_c 5.037
_cell_angle_alpha 90.00
_cell_angle_beta 90.00
_cell_angle_gamma 90.00
loop_
_symmetry_equiv_pos_as_xyz
'x,y,z'
'-x,-y,-z'
'-x+1/2,-y,z'
'x+1/2,y,-z'
'x+1/2,-y,-z'
'-x+1/2,y,z'
'-x,y,-z'
'x,-y,z'
loop_
_atom_site_label
_atom_site_fract_x
_atom_site_fract_y
_atom_site_fract_z
Hf1 0.000 0.249 0.000
Hf2 0.250 0.250 0.390
Ta1 0.000 0.500 0.500
Al1 0.000 0.000 0.500
Al2 0.250 0.000 0.879
Al3 0.250 0.500 0.870

***

# Pm4Bi2TeP, optimized geometry, DFT GGA-PBE
# Uncorrected formation energy in eV/atom: -1.2047
# Crystal system: monoclinic
# Density of states at the Fermi level in states/eV per atom: 0.247
data_Pm4Bi2TeP
_chemical_formula_sum 'Pm4 Bi2 Te1 P1'
_symmetry_space_group_name_H-M 'P 1 2/m 1'
_symmetry_Int_Tables_number 10
_cell_length_a 7.693
_cell_length_b 4.417
_cell_length_c 7.705
_cell_angle_alpha 90.00
_cell_angle_beta 109.16
_cell_angle_gamma 90.00
loop_
_symmetry_equiv_pos_as_xyz
'x,y,z'
'-x,-y,-z'
'-x,y,-z'
'x,-y,z'
loop_
_atom_site_label
_atom_site_fract_x
_atom_site_fract_y
_atom_site_fract_z
Pm1 0.229 0.000 0.228
Pm2 0.238 0.500 0.763
Bi1 0.500 0.000 0.000
Bi2 0.500 0.500 0.500
Te1 0.000 0.000 0.500
P1 0.000 0.500 0.000

***

# Th5Tl2Ru2, optimized geometry, DFT GGA-PBE
# Crystal system: orthorhombic
# Energy relative to the elements in kJ per mole of atoms: -15
# Density of states at the Fermi level in states/eV per atom: 1.233
data_Th5Tl2Ru2
_chemical_formula_sum 'Th20 Tl8 Ru8'
_symmetry_space_group_name_H-M 'I m a 2'
_symmetry_Int_Tables_number 46
_cell_length_a 17.327
_cell_length_b 8.698
_cell_length_c 6.876
_cell_angle_alpha 90.00
_cell_angle_beta 90.00
_cell_angle_gamma 90.00
loop_
_symmetry_equiv_pos_as_xyz
'x,y,z'
'-x,-y,z'
'-x+1/2,y,z'
'x+1/2,-y,z'
'x+1/2,y+1/2,z+1/2'
'-x+1/2,-y+1/2,z+1/2'
'-x,y+1/2,z+1/2'
'x,-y+1/2,z+1/2'
loop_
_atom_site_label
_atom_site_fract_x
_atom_site_fract_y
_atom_site_fract_z
Th1 0.035 0.221 0.000
Th2 0.154 0.594 0.289
Th3 0.250 0.212 0.194
Tl1 0.103 0.543 0.800
Ru1 0.000 0.000 0.712
Ru2 0.250 0.501 0.991

***

| no. | electronic total energy (eV/atom) |
| --- | --- |
| 1 | -4.894 |
| 2 | -6.839 |
| 3 | -5.816 |
| 4 | -5.112 |
| 5 | -6.187 |
| 6 | -3.192 |
| 7 | -8.113 |
| 8 | -5.619 |
| 9 | -6.867 |